# CeTmAs

An optimized crystal structure of CeTmAs (GGA-PBE, the Alexandria database).

magnetic moment = 1.46 μB/f.u.
DOS at the Fermi energy = 5.5 states/eV/f.u.
space group = No. 107
formation energy from the elements = -684.9 meV per atom
volume = 76.8 Å³ per cell

Lattice parameters (Å, degrees): 3.709 3.709 6.169 107.50 107.50 90.00
Each line ends with the local moment (μB).
Fractional coordinates of all 3 atoms:
As: 0.605 0.605 0.210  -0.01
Ce: 0.263 0.263 0.525  0.82
Tm: 0.982 0.982 0.964  0.28